Computed, not measured: a relaxed NaSrCoBiO6 crystal at the GGA+U level of DFT.

The space group is F-43m (No. 216) and the conventional cell measures 8.131, 8.131 and 8.131 Å, with angles of 90.00, 90.00 and 90.00 degrees. The distinct sites, in fractional coordinates, are Na at (0.000, 0.000, 0.000), Sr at (0.000, 0.000, 0.500), Co at (0.250, 0.250, 0.250), Bi at (0.250, 0.250, 0.750) and O at (0.011, 0.250, 0.250).

The crystal system is cubic. The calculation puts the spin magnetization at 19.58 Bohr magnetons per cell. The value obtained for the uncorrected energy is -5.39 eV per atom.